(1)
A relaxed structure of HfAu2Cl, computed with PBE-GGA.

Distance to the lowest polymorph of the same formula ... 0.000 eV/atom
Size of the total moment ... 0.000 μB/atom

Cell lengths 8.265, 8.265, 6.398 Å; angles 49.77, 49.77, 90.00 degrees
Fractional positions:
Cl: 0.250 0.750 0.500
Cl: 0.500 0.500 0.000
Hf: 0.750 0.250 0.500
Hf: 0.000 0.000 0.000
Au: 0.082 0.625 0.250
Au: 0.375 0.332 0.750
Au: 0.668 0.125 0.250
Au: 0.875 0.918 0.750

***

(2)
A relaxed structure of HfAuCl, computed with PBE-GGA.

Distance to the lowest polymorph of the same formula ... 0.110 eV/atom
Size of the total moment ... 0.000 μB/atom

Cell lengths 13.808, 3.311, 5.731 Å; angles 90.00, 95.25, 90.00 degrees
Fractional positions:
Hf: 0.266 0.000 0.948
Hf: 0.266 0.500 0.448
Hf: 0.734 0.500 0.552
Hf: 0.734 0.000 0.052
Au: 0.582 0.500 0.852
Au: 0.418 0.000 0.648
Au: 0.418 0.500 0.148
Au: 0.582 0.000 0.352
Cl: 0.864 0.500 0.248
Cl: 0.136 0.500 0.752
Cl: 0.864 0.000 0.748
Cl: 0.136 0.000 0.252

***

(3)
A relaxed structure of HfAuCl2, computed with PBE-GGA.

Distance to the lowest polymorph of the same formula ... 0.690 eV/atom
Size of the total moment ... 0.000 μB/atom

Cell lengths 4.729, 4.729, 4.729 Å; angles 60.00, 60.00, 60.00 degrees
Fractional positions:
Cl: 0.750 0.750 0.750
Cl: 0.250 0.250 0.250
Au: 0.500 0.500 0.500
Hf: 0.000 0.000 0.000

***

(4)
A relaxed structure of HfAuCl, computed with PBE-GGA.

Distance to the lowest polymorph of the same formula ... 0.193 eV/atom
Size of the total moment ... 0.000 μB/atom

Cell lengths 7.271, 3.270, 5.680 Å; angles 90.00, 90.67, 90.00 degrees
Fractional positions:
Cl: 0.851 0.000 0.976
Cl: 0.851 0.500 0.476
Hf: 0.099 0.500 0.147
Hf: 0.099 0.000 0.647
Au: 0.385 0.000 0.984
Au: 0.385 0.500 0.484

***

(5)
A relaxed structure of HfAuCl, computed with PBE-GGA.

Distance to the lowest polymorph of the same formula ... 0.273 eV/atom
Size of the total moment ... 0.000 μB/atom

Cell lengths 4.936, 3.201, 18.927 Å; angles 90.00, 105.86, 90.00 degrees
Fractional positions:
Au: 0.605 0.000 0.412
Au: 0.183 0.000 0.490
Au: 0.605 0.500 0.912
Au: 0.183 0.500 0.990
Hf: 0.065 0.500 0.363
Hf: 0.065 0.000 0.863
Hf: 0.528 0.500 0.764
Hf: 0.528 0.000 0.264
Cl: 0.416 0.000 0.654
Cl: 0.008 0.000 0.246
Cl: 0.416 0.500 0.154
Cl: 0.008 0.500 0.746

***

(6)
A relaxed structure of HfAuCl, computed with PBE-GGA.

Distance to the lowest polymorph of the same formula ... 0.304 eV/atom
Size of the total moment ... 0.000 μB/atom

Cell lengths 7.325, 3.147, 12.296 Å; angles 90.00, 117.81, 90.00 degrees
Fractional positions:
Hf: 0.246 0.000 0.688
Hf: 0.246 0.500 0.188
Hf: 0.291 0.500 0.462
Hf: 0.291 0.000 0.962
Au: 0.607 0.500 0.157
Au: 0.976 0.500 0.764
Au: 0.607 0.000 0.657
Au: 0.976 0.000 0.264
Cl: 0.992 0.000 0.017
Cl: 0.500 0.000 0.373
Cl: 0.500 0.500 0.873
Cl: 0.992 0.500 0.517

***

(7)
A relaxed structure of HfAuCl, computed with PBE-GGA.

Distance to the lowest polymorph of the same formula ... 0.224 eV/atom
Size of the total moment ... 0.000 μB/atom

Cell lengths 5.895, 3.246, 7.546 Å; angles 90.00, 106.35, 90.00 degrees
Fractional positions:
Au: 0.964 0.000 0.162
Au: 0.424 0.500 0.117
Hf: 0.547 0.000 0.853
Hf: 0.983 0.500 0.859
Cl: 0.586 0.500 0.589
Cl: 0.107 0.000 0.629

***

(8)
A relaxed structure of HfAuCl, computed with PBE-GGA.

Distance to the lowest polymorph of the same formula ... 0.183 eV/atom
Size of the total moment ... 0.000 μB/atom

Cell lengths 3.226, 5.554, 9.303 Å; angles 84.09, 80.02, 73.12 degrees
Fractional positions:
Au: 0.056 0.280 0.609
Au: 0.944 0.720 0.391
Cl: 0.697 0.753 0.852
Cl: 0.303 0.247 0.148
Hf: 0.305 0.753 0.638
Hf: 0.695 0.247 0.362

***

(9)
A relaxed structure of Hf2Au2Cl, computed with PBE-GGA.

DFT total energy ... -6.1648 eV/atom
Size of the total moment ... 0.000 μB/atom

Cell lengths 7.009, 7.009, 4.128 Å; angles 90.00, 90.00, 90.00 degrees
Fractional positions:
Cl: 0.500 0.500 0.000
Cl: 0.000 0.000 0.000
Au: 0.642 0.858 0.500
Au: 0.358 0.142 0.500
Au: 0.858 0.358 0.500
Au: 0.142 0.642 0.500
Hf: 0.661 0.161 0.000
Hf: 0.161 0.339 0.000
Hf: 0.339 0.839 0.000
Hf: 0.839 0.661 0.000

***

(10)
A relaxed structure of HfAuCl, computed with PBE-GGA.

Distance to the lowest polymorph of the same formula ... 0.267 eV/atom
Size of the total moment ... 0.000 μB/atom

Cell lengths 3.256, 6.475, 7.107 Å; angles 76.11, 89.67, 75.46 degrees
Fractional positions:
Cl: 0.988 0.349 0.538
Cl: 0.737 0.846 0.652
Hf: 0.570 0.177 0.812
Hf: 0.284 0.746 0.951
Au: 0.689 0.929 0.190
Au: 0.977 0.357 0.066

***

(11)
A relaxed structure of HfAuCl, computed with PBE-GGA.

Distance to the lowest polymorph of the same formula ... 0.309 eV/atom
Size of the total moment ... 0.000 μB/atom

Cell lengths 7.248, 3.272, 14.083 Å; angles 90.00, 117.94, 90.00 degrees
Fractional positions:
Cl: 0.324 0.000 0.465
Cl: 0.324 0.500 0.965
Cl: 0.828 0.500 0.373
Cl: 0.828 0.000 0.873
Au: 0.330 0.500 0.699
Au: 0.897 0.500 0.646
Au: 0.330 0.000 0.199
Au: 0.897 0.000 0.146
Hf: 0.600 0.500 0.157
Hf: 0.600 0.000 0.657
Hf: 0.051 0.000 0.530
Hf: 0.051 0.500 0.030

***

(12)
A relaxed structure of HfAu2Cl, computed with PBE-GGA.

Distance to the lowest polymorph of the same formula ... 0.283 eV/atom
Size of the total moment ... 0.000 μB/atom

Cell lengths 4.824, 4.824, 4.824 Å; angles 60.00, 60.00, 60.00 degrees
Fractional positions:
Hf: 0.500 0.500 0.500
Au: 0.750 0.750 0.750
Au: 0.250 0.250 0.250
Cl: 0.000 0.000 0.000

***

> What is the formula in the third record?

HfAuCl2

***

> Number 3 is which compound?

HfAuCl2